This record from the Alexandria database describes crystalline Cs3PI6 at its relaxed geometry. The functional is PBE.

POSCAR file:
```
Cs3PI6
1.0
8.854 0.000 0.000
0.000 9.216 0.000
-8.574 0.000 12.710
Cs P I
6 2 12
direct
0.000 0.000 0.000
0.000 0.500 0.500
0.281 0.075 0.757
0.281 0.425 0.257
0.719 0.575 0.743
0.719 0.925 0.243
0.500 0.000 0.500
0.500 0.500 0.000
0.195 0.020 0.290
0.195 0.480 0.790
0.291 0.666 0.051
0.291 0.834 0.551
0.392 0.241 0.051
0.392 0.259 0.551
0.608 0.741 0.449
0.608 0.759 0.949
0.709 0.166 0.449
0.709 0.334 0.949
0.805 0.520 0.210
0.805 0.980 0.710
```

SG	P2_1/c
excess energy over the best structure of this formula in the dataset	0.0000	eV/atom
formation energy without anion corrections	-9.035	eV per formula unit
E_tot	-52.61	eV per cell
theoretical density	3.81	g cm⁻³